--- 1 ---
KBe5 | Alexandria | PBE-GGA | relaxed; N(E_F) = 0.222 states/eV/atom
1.0
3.615 0.000 0.000
0.000 1.238 9.028
0.000 -1.238 9.028
K Be
1 5
direct
0.000 0.000 0.000 K
0.000 0.271 0.271 Be
0.000 0.672 0.672 Be
0.500 0.157 0.157 Be
0.500 0.358 0.358 Be
0.500 0.758 0.758 Be

--- 2 ---
KBe5 | Alexandria | PBE-GGA | relaxed; N(E_F) = 0.414 states/eV/atom
1.0
0.000 3.361 3.361
3.361 0.000 3.361
3.361 3.361 0.000
K Be
1 5
direct
0.000 0.000 0.000 K
0.382 0.382 0.382 Be
0.382 0.382 0.854 Be
0.382 0.854 0.382 Be
0.750 0.750 0.750 Be
0.854 0.382 0.382 Be

--- 3 ---
KBe5 | Alexandria | PBE-GGA | relaxed; N(E_F) = 0.460 states/eV/atom
1.0
4.928 0.000 0.000
-2.464 4.268 0.000
0.000 0.000 3.736
K Be
1 5
direct
0.000 0.000 0.000 K
0.000 0.500 0.500 Be
0.333 0.667 0.000 Be
0.500 0.000 0.500 Be
0.500 0.500 0.500 Be
0.667 0.333 0.000 Be

--- 4 ---
KBe5 | Alexandria | PBE-GGA | relaxed; N(E_F) = 0.212 states/eV/atom
1.0
3.962 -1.245 0.000
3.962 1.245 0.000
-2.352 0.000 8.194
K Be
1 5
direct
0.000 0.000 0.000 K
0.000 0.000 0.500 Be
0.331 0.331 0.601 Be
0.346 0.346 0.307 Be
0.654 0.654 0.693 Be
0.669 0.669 0.399 Be

Stability ranking, top entry: 4; the second entry is 0.029 eV/atom less favorable.